No. 1
Below is ErBr3N after structural relaxation, with properties calculated at the PBE level.

SG: P1 (1)
Calculated volume in Å³ per atom: 43.9
ΔE_f (raw) in meV/atom: -1425

```
ErBr3N
1.0
4.921 0.000 0.000
1.948 8.149 0.000
0.646 -0.109 10.939
Er Br N
2 6 2
Direct
0.000 0.000 0.000
0.015 0.499 0.895
0.153 0.673 0.088
0.193 0.169 0.807
0.483 0.002 0.125
0.532 0.497 0.770
0.822 0.329 0.087
0.862 0.825 0.807
0.437 0.209 0.449
0.593 0.287 0.446
```

No. 2
Below is ErBr4N2 after structural relaxation, with properties calculated at the PBE level.

SG: C2/m (12)
Calculated volume in Å³ per atom: 37.5
ΔE_f (raw) in meV/atom: 516

```
ErBr4N2
1.0
9.432 -2.048 0.000
9.432 2.048 0.000
-1.331 0.000 6.796
Er Br N
1 4 2
Direct
0.000 0.000 0.000
0.060 0.060 0.662
0.403 0.403 0.852
0.597 0.597 0.148
0.940 0.940 0.338
0.266 0.266 0.265
0.734 0.734 0.735
```

No. 3
Below is Er2Br2N after structural relaxation, with properties calculated at the PBE level.

SG: R-3m (166)
Calculated volume in Å³ per atom: 24.1
ΔE_f (raw) in meV/atom: -1733

```
Er2Br2N
1.0
1.814 1.047 10.594
-1.814 1.047 10.594
0.000 -2.094 10.594
Er Br N
2 2 1
Direct
0.127 0.127 0.127
0.873 0.873 0.873
0.268 0.268 0.268
0.732 0.732 0.732
0.500 0.500 0.500
```

No. 4
Below is Nd2ErBr2N2 after structural relaxation, with properties calculated at the PBE level.

SG: I4/mmm (139)
Calculated volume in Å³ per atom: 23.9
ΔE_f (raw) in meV/atom: -1400

```
Nd2ErBr2N2
1.0
-2.228 2.228 8.437
2.228 -2.228 8.437
2.228 2.228 -8.437
Nd Er Br N
2 1 2 2
Direct
0.088 0.088 0.000
0.912 0.912 0.000
0.500 0.500 0.000
0.327 0.327 0.000
0.673 0.673 0.000
0.000 0.500 0.500
0.500 0.000 0.500
```

Size of the total moment, respectively: 0.0; 7.0; 0.0; 1.0 Bohr magnetons per cell.